Compound: Ho4Co2Ni
Source: Alexandria via LeMat-Bulk
Functional: PBE
Structure: relaxed

symmetry = Imm2, No. 44
formation enthalpy at 0 K = -98 meV per atom
VASP energy = -77.98 eV per cell

Cell: 7.4957 7.4957 7.4957 Å, 117.86 107.28 103.63°
Fractional positions:
Ho 0.2005 0.0000 0.2005
Ho 0.2572 0.5561 0.7012
Ho 0.3124 0.0905 0.7781
Ho 0.3124 0.5343 0.2219
Ho 0.7411 0.0190 0.2779
Ho 0.7411 0.4632 0.7221
Ho 0.7995 0.0000 0.7995
Ho 0.8549 0.5561 0.2988
Co 0.0267 0.2773 0.2506
Co 0.0267 0.7762 0.7494
Co 0.0279 0.2781 0.7498
Co 0.5282 0.2781 0.2502
Ni 0.5135 0.0135 0.5000
Ni 0.5404 0.5404 0.0000

---

Compound: Ho12CoNi6
Source: Alexandria via LeMat-Bulk
Functional: PBE
Structure: relaxed

symmetry = R-3, No. 148
formation enthalpy at 0 K = -203 meV per atom
VASP energy = -100.59 eV per cell

Cell: 7.8888 7.8888 7.8888 Å, 98.58 98.58 98.58°
Fractional positions:
Ho 0.0431 0.9133 0.6816
Ho 0.0867 0.3184 0.9569
Ho 0.1816 0.5765 0.4121
Ho 0.3184 0.9569 0.0867
Ho 0.4121 0.1816 0.5765
Ho 0.4235 0.5879 0.8184
Ho 0.5765 0.4121 0.1816
Ho 0.5879 0.8184 0.4235
Ho 0.6816 0.0431 0.9133
Ho 0.8184 0.4235 0.5879
Ho 0.9133 0.6816 0.0431
Ho 0.9569 0.0867 0.3184
Co 0.0000 0.0000 0.0000
Ni 0.1305 0.3135 0.6172
Ni 0.3135 0.6172 0.1305
Ni 0.3828 0.8695 0.6865
Ni 0.6172 0.1305 0.3135
Ni 0.6865 0.3828 0.8695
Ni 0.8695 0.6865 0.3828

---

Compound: HoCo4Ni8
Source: Alexandria via LeMat-Bulk
Functional: PBE
Structure: relaxed

symmetry = I4/mmm, No. 139
formation enthalpy at 0 K = -86 meV per atom
VASP energy = -80.38 eV per cell

Cell: 6.2745 6.2745 6.2745 Å, 97.92 97.92 136.43°
Fractional positions:
Ho 0.0000 0.0000 0.0000
Co 0.0000 0.0000 0.5000
Co 0.0000 0.5000 0.0000
Co 0.5000 0.0000 0.0000
Co 0.5000 0.5000 0.5000
Ni 0.0000 0.3551 0.3551
Ni 0.0000 0.6449 0.6449
Ni 0.2797 0.5000 0.7797
Ni 0.3551 0.0000 0.3551
Ni 0.5000 0.2797 0.7797
Ni 0.5000 0.7203 0.2203
Ni 0.6449 0.0000 0.6449
Ni 0.7203 0.5000 0.2203